The following is a PBE with a Hubbard U calculation of a relaxed structure of CsWF3, from Alexandria via LeMat-Bulk.

Computed properties:
Energy above the lowest structure with this stoichiometry in meV per atom: 114
Raw total energy in Ry per atom: -0.3491
Fermi-level density of states in states/eV/f.u.: 1.168
Theoretical density in g cm⁻³: 6.26

abc: 4.629 4.629 4.629
angles: 90.00 90.00 90.00
Fractional positions:
Cs (0.000, 0.000, 0.000)
W (0.500, 0.500, 0.500)
F (0.000, 0.500, 0.500)
F (0.500, 0.000, 0.500)
F (0.500, 0.500, 0.000)